Entry 1:
# Pm5Sm4Th2 PBE relaxed
data_Pm5Sm4Th2
_symmetry_space_group_name_H-M 'P 1 2/m 1'
_symmetry_Int_Tables_number 10
_cell_length_a 8.991
_cell_length_b 3.515
_cell_length_c 11.971
_cell_angle_alpha 90.00
_cell_angle_beta 94.27
_cell_angle_gamma 90.00
loop_
_symmetry_equiv_pos_as_xyz
'x,y,z'
'-x,-y,-z'
'-x,y,-z'
'x,-y,z'
loop_
_atom_site_label
_atom_site_type_symbol
_atom_site_fract_x
_atom_site_fract_y
_atom_site_fract_z
Pm1 Pm 0.000 0.000 0.000
Pm2 Pm 0.078 0.000 0.287
Pm3 Pm 0.304 0.000 0.833
Sm1 Sm 0.196 0.500 0.546
Sm2 Sm 0.343 0.500 0.106
Th1 Th 0.459 0.000 0.369
# E_tot: -5.09 eV per atom
# M_tot: 0.000 μB/atom
# density of states at the Fermi level: 1.7005 states/eV per atom

---

Entry 2:
# PmSmTh2 PBE relaxed
data_PmSmTh2
_symmetry_space_group_name_H-M 'R 3 m'
_symmetry_Int_Tables_number 160
_symmetry_space_group_name_Hall 'R 3 -2"'
_cell_length_a 3.5982
_cell_length_b 3.5982
_cell_length_c 35.3620
_cell_angle_alpha 90.00
_cell_angle_beta 90.00
_cell_angle_gamma 120.00
loop_
_atom_site_label
_atom_site_type_symbol
_atom_site_fract_x
_atom_site_fract_y
_atom_site_fract_z
Pm1 Pm 0.0000 0.0000 0.0000
Sm1 Sm 0.0000 0.0000 0.1699
Th1 Th 0.0000 0.0000 0.4188
Th2 Th 0.0000 0.0000 0.5848
# E_tot: -6.02 eV per atom
# M_tot: 0.000 μB/atom
# density of states at the Fermi level: 1.4955 states/eV per atom

---

Entry 3:
# Pm3SmTh PBE relaxed
data_Pm3SmTh
_symmetry_space_group_name_H-M 'C m c e'
_symmetry_Int_Tables_number 64
_symmetry_space_group_name_Hall '-C 2ac 2'
_cell_length_a 13.291
_cell_length_b 13.607
_cell_length_c 7.659
_cell_angle_alpha 90.00
_cell_angle_beta 90.00
_cell_angle_gamma 90.00
loop_
_atom_site_label
_atom_site_type_symbol
_atom_site_fract_x
_atom_site_fract_y
_atom_site_fract_z
Pm1 Pm 0.000 0.094 0.142
Pm2 Pm 0.147 0.228 0.880
Sm1 Sm 0.250 0.019 0.250
Th1 Th 0.000 0.105 0.583
# E_tot: -5.12 eV per atom
# M_tot: 0.000 μB/atom
# density of states at the Fermi level: 1.2702 states/eV per atom

---

Entry 4:
# PmSmTh2 PBE relaxed
data_PmSmTh2
_symmetry_space_group_name_H-M 'P 1 21/m 1'
_symmetry_Int_Tables_number 11
_cell_length_a 5.076
_cell_length_b 5.102
_cell_length_c 10.245
_cell_angle_alpha 90.00
_cell_angle_beta 90.14
_cell_angle_gamma 90.00
loop_
_symmetry_equiv_pos_as_xyz
'x,y,z'
'-x,-y,-z'
'-x,y+1/2,-z'
'x,-y+1/2,z'
loop_
_atom_site_label
_atom_site_type_symbol
_atom_site_fract_x
_atom_site_fract_y
_atom_site_fract_z
Pm1 Pm 0.001 0.250 0.366
Sm1 Sm 0.500 0.250 0.634
Th1 Th 0.000 0.250 0.881
Th2 Th 0.500 0.250 0.119
# E_tot: -6.05 eV per atom
# M_tot: 0.000 μB/atom
# density of states at the Fermi level: 1.7270 states/eV per atom

---

Entry 5:
# Pm2Sm3Th PBE relaxed
data_Pm2Sm3Th
_symmetry_space_group_name_H-M 'I m m a'
_symmetry_Int_Tables_number 74
_symmetry_space_group_name_Hall '-I 2b 2'
_cell_length_a 5.130
_cell_length_b 10.264
_cell_length_c 15.417
_cell_angle_alpha 90.00
_cell_angle_beta 90.00
_cell_angle_gamma 90.00
loop_
_atom_site_label
_atom_site_type_symbol
_atom_site_fract_x
_atom_site_fract_y
_atom_site_fract_z
Pm1 Pm 0.000 0.250 0.002
Pm2 Pm 0.000 0.250 0.667
Sm1 Sm 0.000 0.000 0.500
Sm2 Sm 0.000 0.008 0.168
Th1 Th 0.000 0.250 0.331
# E_tot: -5.15 eV per atom
# M_tot: 0.000 μB/atom
# density of states at the Fermi level: 1.5265 states/eV per atom

---

Entry 6:
# Pm5Sm6Th2 PBE relaxed
data_Pm5Sm6Th2
_symmetry_space_group_name_H-M 'P b a m'
_symmetry_Int_Tables_number 55
_cell_length_a 11.671
_cell_length_b 21.170
_cell_length_c 3.627
_cell_angle_alpha 90.00
_cell_angle_beta 90.00
_cell_angle_gamma 90.00
loop_
_symmetry_equiv_pos_as_xyz
'x,y,z'
'-x,-y,-z'
'-x,-y,z'
'x,y,-z'
'x+1/2,-y+1/2,-z'
'-x+1/2,y+1/2,z'
'-x+1/2,y+1/2,-z'
'x+1/2,-y+1/2,z'
loop_
_atom_site_label
_atom_site_type_symbol
_atom_site_fract_x
_atom_site_fract_y
_atom_site_fract_z
Pm1 Pm 0.000 0.000 0.000
Pm2 Pm 0.063 0.294 0.000
Pm3 Pm 0.189 0.580 0.000
Sm1 Sm 0.065 0.147 0.500
Sm2 Sm 0.082 0.438 0.500
Sm3 Sm 0.185 0.875 0.000
Th1 Th 0.191 0.734 0.500
# E_tot: -5.03 eV per atom
# M_tot: 0.000 μB/atom
# density of states at the Fermi level: 1.3285 states/eV per atom

---

Entry 7:
# PmSm2Th2 PBE relaxed
data_PmSm2Th2
_symmetry_space_group_name_H-M 'I 4/m m m'
_symmetry_Int_Tables_number 139
_symmetry_space_group_name_Hall '-I 4 2'
_cell_length_a 4.745
_cell_length_b 4.745
_cell_length_c 15.854
_cell_angle_alpha 90.00
_cell_angle_beta 90.00
_cell_angle_gamma 90.00
loop_
_atom_site_label
_atom_site_type_symbol
_atom_site_fract_x
_atom_site_fract_y
_atom_site_fract_z
Pm1 Pm 0.000 0.000 0.000
Sm1 Sm 0.000 0.000 0.402
Th1 Th 0.000 0.500 0.250
# E_tot: -5.42 eV per atom
# M_tot: 0.000 μB/atom
# density of states at the Fermi level: 1.6400 states/eV per atom

---

Entry 8:
# PmSm12Th7 PBE relaxed
data_PmSm12Th7
_symmetry_space_group_name_H-M 'I m -3'
_symmetry_Int_Tables_number 204
_symmetry_space_group_name_Hall '-I 2 2 3'
_cell_length_a 11.565
_cell_length_b 11.565
_cell_length_c 11.565
_cell_angle_alpha 90.00
_cell_angle_beta 90.00
_cell_angle_gamma 90.00
loop_
_atom_site_label
_atom_site_type_symbol
_atom_site_fract_x
_atom_site_fract_y
_atom_site_fract_z
Pm1 Pm 0.000 0.000 0.000
Sm1 Sm 0.000 0.304 0.231
Th1 Th 0.000 0.000 0.500
Th2 Th 0.250 0.250 0.250
# E_tot: -4.78 eV per atom
# M_tot: 0.000 μB/atom
# density of states at the Fermi level: 2.2030 states/eV per atom